Record 1
Entry from Alexandria: a PBEsol-optimized structure of CrCuTe2 (meta-GGA SCAN).

Unit cell a=6.7619 b=6.7619 c=6.7619 alpha=90.00 beta=90.00 gamma=90.00
With the nearest neighbours (Å) after each atom.
Space group Fm-3m (No. 225)
One atom of each set of equivalent atoms:
Cr1 0.0000 0.0000 0.0000 [4 per cell]  8 Te 2.93
Cu1 0.0000 0.0000 0.5000 [4 per cell]  8 Te 2.93
Te1 0.2500 0.2500 0.2500 [8 per cell]  4 Cr 2.93, 4 Cu 2.93

Calculated values
For the final energy, the calculation gives -428.43 eV for the cell shown. The size of the total moment comes out at 12.83 Bohr magnetons per cell. The mass density is 7965 kg/m3. As for the energy relative to the lowest polymorph listed for this composition: 0.420 eV per atom. The uncorrected formation energy comes out at 1.0 eV/f.u.

Record 2
Entry from Alexandria: a PBEsol-optimized structure of TlCrCu2 (meta-GGA SCAN).

Unit cell a=6.1879 b=6.1879 c=6.1879 alpha=90.00 beta=90.00 gamma=90.00
With the nearest neighbours (Å) after each atom.
Space group F-43m (No. 216)
One atom of each set of equivalent atoms:
Tl1 0.0000 0.0000 0.0000 [4 per cell]  4 Cu 2.68, 4 Cr 2.68
Cr1 0.2500 0.2500 0.2500 [4 per cell]  4 Tl 2.68, 4 Cu 2.68
Cu1 0.0000 0.0000 0.5000 [4 per cell]  4 Cr 2.68, 4 Cu 2.68
Cu2 0.2500 0.2500 0.7500 [4 per cell]  4 Cu 2.68, 4 Tl 2.68

Calculated values
For the final energy, the calculation gives -479.60 eV for the cell shown. The size of the total moment comes out at 14.99 Bohr magnetons per cell. The mass density is 10750 kg/m3.

Record 3
Entry from Alexandria: a PBEsol-optimized structure of TlCr3Cu (meta-GGA SCAN).

Unit cell a=4.5778 b=4.5778 c=4.5778 alpha=90.00 beta=90.00 gamma=90.00
With the nearest neighbours (Å) after each atom.
Space group Pm-3m (No. 221)
One atom of each set of equivalent atoms:
Tl1 0.0000 0.0000 0.0000 [1 per cell]  12 Cr 3.24
Cr1 0.0000 0.5000 0.5000 [3 per cell]  2 Cu 2.29
Cu1 0.5000 0.5000 0.5000 [1 per cell]  6 Cr 2.29

Calculated values
For the final energy, the calculation gives -138.23 eV for the cell shown. The size of the total moment comes out at 12.26 Bohr magnetons per cell. The mass density is 7338 kg/m3.

Record 4
Entry from Alexandria: a PBEsol-optimized structure of CrCuW2 (meta-GGA SCAN).

Unit cell a=5.4110 b=7.1175 c=2.8154 alpha=90.00 beta=90.00 gamma=90.00
With the nearest neighbours (Å) after each atom.
Space group Cmmm (No. 65)
One atom of each set of equivalent atoms:
Cr1 0.0000 0.0000 0.0000 [2 per cell]  8 W 2.64, 2 Cu 2.71, 2 Cr 2.82
Cu1 0.0000 0.5000 0.0000 [2 per cell]  8 W 2.64, 2 Cr 2.71, 2 Cu 2.82
W1 0.2500 0.2500 0.5000 [4 per cell]  4 Cr 2.64, 4 Cu 2.64, 4 W 2.71-2.82

Calculated values
For the final energy, the calculation gives -343.07 eV for the cell shown. The size of the total moment comes out at 0.00 Bohr magnetons per cell. The mass density is 14801 kg/m3. As for the energy relative to the lowest polymorph listed for this composition: 0.059 eV per atom.

Record 5
Entry from Alexandria: a PBEsol-optimized structure of CrCuW (meta-GGA SCAN).

Unit cell a=5.6125 b=5.6125 c=5.6125 alpha=90.00 beta=90.00 gamma=90.00
With the nearest neighbours (Å) after each atom.
Space group F-43m (No. 216)
One atom of each set of equivalent atoms:
Cr1 0.0000 0.0000 0.0000 [4 per cell]  4 Cu 2.43
Cu1 0.2500 0.2500 0.7500 [4 per cell]  4 Cr 2.43, 4 W 2.43
W1 0.0000 0.0000 0.5000 [4 per cell]  4 Cu 2.43

Calculated values
For the final energy, the calculation gives -400.49 eV for the cell shown. The size of the total moment comes out at 7.79 Bohr magnetons per cell. The mass density is 11248 kg/m3. As for the energy relative to the lowest polymorph listed for this composition: 0.649 eV per atom.

Record 6
Entry from Alexandria: a PBEsol-optimized structure of Cr2CuW (meta-GGA SCAN).

Unit cell a=2.8310 b=2.8310 c=6.2367 alpha=90.00 beta=90.00 gamma=90.00
With the nearest neighbours (Å) after each atom.
Space group P4mm (No. 99)
One atom of each set of equivalent atoms:
Cr1 0.0000 0.0000 0.0000 [1 per cell]  4 Cr 2.33
Cr2 0.5000 0.5000 0.1907 [1 per cell]  4 Cr 2.33, 4 Cu 2.53
Cu1 0.0000 0.0000 0.4386 [1 per cell]  5 Cr 2.53-2.74, 4 W 2.67, 4 Cu 2.83
W1 0.5000 0.5000 0.7226 [1 per cell]  5 Cr 2.65-2.92, 4 Cu 2.67, 4 W 2.83

Calculated values
For the final energy, the calculation gives -120.61 eV for the cell shown. The size of the total moment comes out at 0.50 Bohr magnetons per cell. The mass density is 11673 kg/m3. As for the energy relative to the lowest polymorph listed for this composition: 0.000 eV per atom.

Record 7
Entry from Alexandria: a PBEsol-optimized structure of Cr2CuW (meta-GGA SCAN).

Unit cell a=2.4978 b=2.4978 c=8.1172 alpha=90.00 beta=90.00 gamma=90.00
With the nearest neighbours (Å) after each atom.
Space group P4/mmm (No. 123)
One atom of each set of equivalent atoms:
Cr1 0.0000 0.0000 0.2312 [2 per cell]  4 Cr 2.50, 4 Cu 2.58
Cu1 0.5000 0.5000 0.0000 [1 per cell]  4 Cu 2.50, 8 Cr 2.58
W1 0.5000 0.5000 0.5000 [1 per cell]  4 W 2.50

Calculated values
For the final energy, the calculation gives -120.01 eV for the cell shown. The size of the total moment comes out at 0.00 Bohr magnetons per cell. The mass density is 11522 kg/m3. As for the energy relative to the lowest polymorph listed for this composition: 0.149 eV per atom.

Record 8
Entry from Alexandria: a PBEsol-optimized structure of CrCuW2 (meta-GGA SCAN).

Unit cell a=3.8240 b=3.8240 c=3.6924 alpha=90.00 beta=90.00 gamma=90.00
With the nearest neighbours (Å) after each atom.
Space group P4/mmm (No. 123)
One atom of each set of equivalent atoms:
Cr1 0.0000 0.0000 0.0000 [1 per cell]  8 W 2.66, 4 Cu 2.70
Cu1 0.5000 0.5000 0.0000 [1 per cell]  8 W 2.66, 4 Cr 2.70
W1 0.0000 0.5000 0.5000 [2 per cell]  4 Cr 2.66, 4 Cu 2.66, 4 W 2.70

Calculated values
For the final energy, the calculation gives -171.77 eV for the cell shown. The size of the total moment comes out at 0.00 Bohr magnetons per cell. The mass density is 14861 kg/m3. As for the energy relative to the lowest polymorph listed for this composition: 0.000 eV per atom.

Record 9
Entry from Alexandria: a PBEsol-optimized structure of Cr2CuW (meta-GGA SCAN).

Unit cell a=2.4790 b=3.9307 c=5.1627 alpha=90.00 beta=90.00 gamma=90.00
With the nearest neighbours (Å) after each atom.
Space group Pmm2 (No. 25)
One atom of each set of equivalent atoms:
Cr1 0.0000 0.0000 0.0000 [1 per cell]  2 Cu 2.47-2.69, 6 Cr 2.48-2.62, 4 W 2.69
Cr2 0.5000 0.5000 0.2343 [1 per cell]  6 Cr 2.48-2.62, 2 W 2.56-2.60, 4 Cu 2.64
Cu1 0.0000 0.0000 0.4789 [1 per cell]  6 Cr 2.47-2.69, 2 Cu 2.48, 4 W 2.68
W1 0.5000 0.5000 0.7379 [1 per cell]  2 W 2.48, 6 Cr 2.56-2.69, 4 Cu 2.68

Calculated values
For the final energy, the calculation gives -120.08 eV for the cell shown. The size of the total moment comes out at 0.00 Bohr magnetons per cell. The mass density is 11599 kg/m3. As for the energy relative to the lowest polymorph listed for this composition: 0.131 eV per atom.

Record 10
Entry from Alexandria: a PBEsol-optimized structure of CrCuW (meta-GGA SCAN).

Unit cell a=2.4875 b=3.9570 c=7.9101 alpha=90.00 beta=90.00 gamma=90.00
With the nearest neighbours (Å) after each atom.
Space group Imm2 (No. 44)
One atom of each set of equivalent atoms:
Cr1 0.0000 0.0000 0.0000 [2 per cell]  2 Cr 2.49, 5 W 2.60-2.70, 5 Cu 2.66-2.69
Cu1 0.0000 0.0000 0.3397 [2 per cell]  2 Cu 2.49, 5 W 2.62-2.69, 5 Cr 2.66-2.69
W1 0.0000 0.0000 0.6709 [2 per cell]  2 W 2.49, 5 Cr 2.60-2.70, 5 Cu 2.62-2.69

Calculated values
For the final energy, the calculation gives -204.14 eV for the cell shown. The size of the total moment comes out at 0.00 Bohr magnetons per cell. The mass density is 12770 kg/m3. As for the energy relative to the lowest polymorph listed for this composition: 0.000 eV per atom.

Record 11
Entry from Alexandria: a PBEsol-optimized structure of YCr2Cu (meta-GGA SCAN).

Unit cell a=4.0312 b=4.0312 c=4.1737 alpha=90.00 beta=90.00 gamma=90.00
With the nearest neighbours (Å) after each atom.
Space group P4/mmm (No. 123)
One atom of each set of equivalent atoms:
Y1 0.0000 0.0000 0.0000 [1 per cell]  4 Cu 2.85, 8 Cr 2.90
Cr1 0.0000 0.5000 0.5000 [2 per cell]  4 Cr 2.85, 4 Cu 2.90, 4 Y 2.90
Cu1 0.5000 0.5000 0.0000 [1 per cell]  4 Y 2.85, 8 Cr 2.90

Calculated values
For the final energy, the calculation gives -78.62 eV for the cell shown. The size of the total moment comes out at 7.73 Bohr magnetons per cell. The mass density is 6278 kg/m3. As for the energy relative to the lowest polymorph listed for this composition: 0.000 eV per atom.

Record 12
Entry from Alexandria: a PBEsol-optimized structure of YCrCu2 (meta-GGA SCAN).

Unit cell a=3.2391 b=3.2391 c=6.1521 alpha=90.00 beta=90.00 gamma=90.00
With the nearest neighbours (Å) after each atom.
Space group P4/mmm (No. 123)
One atom of each set of equivalent atoms:
Y1 0.0000 0.0000 0.0000 [1 per cell]  8 Cu 2.93, 2 Cr 3.08, 4 Y 3.24
Cr1 0.0000 0.0000 0.5000 [1 per cell]  8 Cu 2.61
Cu1 0.5000 0.5000 0.2958 [2 per cell]  1 Cu 2.51, 4 Cr 2.61

Calculated values
For the final energy, the calculation gives -76.53 eV for the cell shown. The size of the total moment comes out at 3.61 Bohr magnetons per cell. The mass density is 6894 kg/m3.